# 1
This record from the Open Quantum Materials Database describes a relaxed structure of ZrCuBOs. The functional is GGA-PBE.

The structure belongs to space group F-43m (No. 216); the cell edges are 6.121, 6.121 and 6.121 Å and the angles 90.00°, 90.00° and 90.00°. The asymmetric unit holds Zr at (0.000, 0.000, 0.000), Cu at (0.000, 0.000, 0.500), B at (0.250, 0.250, 0.250) and Os at (0.250, 0.250, 0.750).

The final energy comes out at -6.941 eV per atom. Its density is 10.3 g cm⁻³. Its polymorph energy (0 for the lowest one) is 0.116 eV per atom. The magnetization comes out at 0.00 μB per formula unit.


# 2
This record from the Open Quantum Materials Database describes a relaxed structure of BaBeSiPd. The functional is GGA-PBE.

The structure belongs to space group F-43m (No. 216); the cell edges are 6.978, 6.978 and 6.978 Å and the angles 90.00°, 90.00° and 90.00°. The asymmetric unit holds Ba at (0.000, 0.000, 0.000), Be at (0.000, 0.000, 0.500), Si at (0.250, 0.250, 0.250) and Pd at (0.250, 0.250, 0.750).

The final energy comes out at -3.642 eV per atom. Its density is 5.5 g cm⁻³. Its polymorph energy (0 for the lowest one) is 0.105 eV per atom.


# 3
This record from the Open Quantum Materials Database describes a relaxed structure of Si2NiIr. The functional is GGA-PBE.

The structure belongs to space group Pmn2_1 (No. 31); the cell edges are 3.763, 7.366 and 3.753 Å and the angles 90.00°, 90.00° and 90.00°. The asymmetric unit holds Si at (0.000, 0.231, 0.000), Si at (0.000, 0.768, 0.999), Ni at (0.000, 0.959, 0.498) and Ir at (0.000, 0.432, 0.501).

The final energy comes out at -6.719 eV per atom. Its density is 9.8 g cm⁻³. The magnetization comes out at 0.00 μB per formula unit.


# 4
This record from the Open Quantum Materials Database describes a relaxed structure of Hf5Al3C. The functional is GGA-PBE.

The structure belongs to space group P6_3/mcm (No. 193); the cell edges are 8.1683, 8.1683 and 5.6588 Å and the angles 90.00°, 90.00° and 120.00°. The asymmetric unit holds Hf at (0.0000, 0.2232, 0.2500), Hf at (0.3333, 0.6667, 0.0000), Al at (0.0000, 0.4026, 0.7500) and C at (0.0000, 0.0000, 0.0000).

The final energy comes out at -8.272 eV per atom. Its density is 10.0 g cm⁻³. The magnetization comes out at 0.02 μB per formula unit.


# 5
This record from the Open Quantum Materials Database describes a relaxed structure of Sm3Ga4. The functional is GGA-PBE.

The structure belongs to space group Immm (No. 71); the cell edges are 4.184, 4.341 and 18.590 Å and the angles 90.00°, 90.00° and 90.00°. The asymmetric unit holds Sm at (0.000, 0.000, 0.000), Sm at (0.000, 0.500, 0.316), Ga at (0.000, 0.000, 0.434) and Ga at (0.000, 0.500, 0.144).

The final energy comes out at -4.393 eV per atom. Its density is 7.2 g cm⁻³. The magnetization comes out at 0.02 μB per formula unit.


# 6
This record from the Open Quantum Materials Database describes a relaxed structure of YNb2Tl. The functional is GGA-PBE.

The structure belongs to space group F-43m (No. 216); the cell edges are 7.017, 7.017 and 7.017 Å and the angles 90.00°, 90.00° and 90.00°. The asymmetric unit holds Y at (0.000, 0.000, 0.000), Nb at (0.000, 0.000, 0.500), Nb at (0.250, 0.250, 0.250) and Tl at (0.250, 0.250, 0.750).

The final energy comes out at -6.994 eV per atom. Its density is 9.2 g cm⁻³. The magnetization comes out at 0.00 μB per formula unit.